A geometry-optimized Be3NbZn structure. Source: Alexandria, functional GGA-PBE.

Properties
- DFT total energy (eV per atom) = -2.914
- formation enthalpy at 0 K (eV per atom) = 1.590
- theoretical density (g/cm3) = 3.5

abc: 4.445 4.445 4.445
angles: 90.00 90.00 90.00
Space group Pm-3m (No. 221)
Unique sites:
Be 0.000 0.000 0.500 x3
Nb 0.000 0.000 0.000 x1
Zn 0.500 0.500 0.500 x1